Below is crystalline Tb2NiPb at its relaxed geometry, with properties calculated at the PBE level.

Values from the calculation:
For the formation energy, the calculation gives -0.4087 eV/atom. The value obtained for the uncorrected energy is -20.4 eV per formula unit. Its crystal system is tetragonal.

a b c (Å): 3.4562 3.4562 8.1063
angles (deg): 90.00 90.00 90.00
With the nearest neighbours (Å) after each atom.
Positions (direct):
Tb 0.0000 0.0000 0.2018  4 Ni 2.94, 1 Tb 3.27
Tb 0.0000 0.0000 0.7982  4 Ni 2.94, 1 Tb 3.27
Pb 0.5000 0.5000 0.5000  8 Tb 3.44, 4 Pb 3.46
Ni 0.5000 0.5000 0.0000  8 Tb 2.94